No. 1
Below is NdAsPd2Pt2 after structural relaxation, with properties calculated at the PBE level.

Cell and atoms, written as extended XYZ:
```
6
Lattice="4.094 0.000 0.000 0.000 4.094 0.000 -2.047 -2.047 8.027" Properties=species:S:1:pos:R:3 pbc="T T T"
As 0.000 0.000 0.000
Pt 2.047 2.047 5.733
Pd 2.047 0.000 4.014
Nd 2.047 2.047 0.000
Pt 0.000 0.000 2.294
Pd 0.000 2.047 4.014
```

Properties
**Crystal system**: tetragonal
**Energy of formation**: -11.8 kJ per mole of atoms
**DOS(E_F)**: 7.01 states/eV/f.u.

---

No. 2
Below is Ba2Cd3F10 after structural relaxation, with properties calculated at the PBE level.

Cell and atoms, written as extended XYZ:
```
30
Lattice="6.317 0.000 -2.056 -0.939 7.609 -2.886 -0.103 0.281 10.415" Properties=species:S:1:pos:R:3 pbc="T T T"
F 2.816 7.386 3.982
Ba 3.210 5.387 -0.869
F 5.405 6.550 5.874
F 2.084 3.690 0.990
F -0.131 1.340 -0.401
Ba 4.214 2.580 2.214
Ba 2.064 2.503 6.342
F 2.982 1.520 -1.570
Cd 1.050 0.335 3.226
Cd 0.039 3.478 0.119
Cd 1.679 0.000 -0.546
F -0.052 0.140 5.207
F 0.060 4.200 5.502
F 0.067 7.386 4.876
F 1.210 2.485 3.719
F 5.214 3.690 -0.029
F 5.207 0.503 0.596
Cd 5.235 4.412 5.354
F 4.330 3.805 -3.005
F 3.190 4.200 4.483
F 0.175 5.713 0.537
F 4.064 5.405 1.754
F 1.048 3.805 -1.937
Cd 4.224 7.555 2.247
F 2.458 0.503 1.491
Ba 1.060 5.309 3.258
F 3.107 0.140 4.179
F 5.099 2.177 4.935
Cd 4.638 0.000 -1.509
F 2.292 6.369 7.043
```

Properties
**Crystal system**: monoclinic
**Formation energy without anion corrections**: -2.82 eV/atom
**DOS(E_F)**: 0.00 states/eV/f.u.

---

No. 3
Below is AcDy4HoS8 after structural relaxation, with properties calculated at the PBE level.

Cell and atoms, written as extended XYZ:
```
14
Lattice="8.164 0.000 0.000 4.082 7.070 0.000 4.082 2.357 6.656" Properties=species:S:1:pos:R:3 pbc="T T T"
S 8.164 7.364 4.897
Dy 10.241 8.228 3.314
S 10.315 5.956 1.697
Ho 12.246 7.070 0.041
Dy 8.164 4.713 0.837
Ac 8.164 4.713 5.821
S 12.246 7.070 4.870
S 5.868 3.388 4.897
S 10.460 3.388 4.897
S 8.164 2.229 1.697
Dy 12.246 4.755 3.314
S 4.082 2.357 1.970
S 6.013 5.956 1.697
Dy 14.251 8.228 3.314
```

Properties
**Crystal system**: trigonal
**Formation energy without anion corrections**: -1.93 eV/atom
**DOS(E_F)**: 8.73 states/eV/f.u.

---

No. 4
Below is ScInHg after structural relaxation, with properties calculated at the PBE level.

Cell and atoms, written as extended XYZ:
```
6
Lattice="4.608 0.014 0.049 -2.315 5.753 -0.004 -2.323 -2.351 5.143" Properties=species:S:1:pos:R:3 pbc="T T T"
Sc -1.449 3.808 0.616
Sc -1.460 1.449 3.139
In 0.839 3.500 3.135
In 0.860 1.769 0.667
Hg 0.844 -0.348 3.278
Hg 3.170 -0.135 0.531
```

Properties
**Crystal system**: triclinic
**Energy above the most stable polymorph in this dataset**: 0.08 eV per formula unit
**Energy of formation**: -28.4 kJ per mole of atoms
**DOS(E_F)**: 1.76 states/eV/f.u.

---

No. 5
Below is K4Nd3MnS8 after structural relaxation, with properties calculated at the PBE level.

Cell and atoms, written as extended XYZ:
```
16
Lattice="-5.158 5.936 -1.906 -3.179 -4.867 -6.555 -0.162 -3.214 7.604" Properties=species:S:1:pos:R:3 pbc="T T T"
K -2.660 1.361 2.849
S -3.674 -3.642 -1.401
S -6.118 -0.605 -2.504
S -3.394 -5.257 2.533
S -2.381 -1.540 1.648
Mn -1.590 -2.433 -3.278
S -6.313 -1.897 1.455
K -2.579 2.968 -0.953
K -0.081 -1.607 3.802
S -5.105 3.112 -3.390
S -2.186 -0.248 -2.311
Nd -4.250 -1.073 -0.428
Nd -4.169 0.535 -4.230
K 0.000 0.000 0.000
Nd -1.671 -4.041 0.524
S -4.825 1.497 0.544
```

Properties
**Crystal system**: monoclinic
**Formation energy without anion corrections**: -1.53 eV/atom

---

No. 6
Below is LiAgSbO4 after structural relaxation, with properties calculated at the PBE level.

Cell and atoms, written as extended XYZ:
```
7
Lattice="-2.753 -1.212 4.100 2.636 -4.320 0.493 2.837 4.741 0.153" Properties=species:S:1:pos:R:3 pbc="T T T"
O -0.615 -1.757 3.826
Li 2.707 -1.173 1.471
O 2.249 0.168 2.796
Sb -0.058 -2.766 2.297
O 1.820 -2.835 1.933
O 1.987 2.842 0.938
Ag 0.000 0.000 0.000
```

Properties
**Crystal system**: tetragonal
**Formation energy without anion corrections**: -0.96 eV/atom
**DOS(E_F)**: 1.64 states/eV/f.u.